[1]
A plane-wave DFT calculation with PBE was carried out for an optimized crystal structure of LiMnAgBr4.

Cell: 8.0720 8.1553 11.4360 Å, 90.00 90.00 90.00°
Space group Imma (No. 74)
Symmetry-distinct sites (fractional):
Li 0.0000 0.0000 0.0000 (multiplicity 4)
Mn 0.0000 0.2500 0.3746 (multiplicity 4)
Ag 0.2500 0.2500 0.7500 (multiplicity 4)
Br 0.0000 0.0017 0.2431 (multiplicity 8)
Br 0.2400 0.2500 0.0022 (multiplicity 8)

[2]
A plane-wave DFT calculation with PBE was carried out for an optimized crystal structure of LiMnAg2Br6.

Cell: 6.8812 6.9103 7.0718 Å, 69.23 65.05 75.40°
Space group P1 (No. 1)
Symmetry-distinct sites (fractional):
Li 0.0000 0.0000 0.0000 (multiplicity 1)
Mn 0.6403 0.3101 0.5575 (multiplicity 1)
Ag 0.0015 0.6422 0.7346 (multiplicity 1)
Ag 0.3255 0.3301 0.1654 (multiplicity 1)
Br 0.3675 0.5629 0.4216 (multiplicity 1)
Br 0.3711 0.0790 0.9181 (multiplicity 1)
Br 0.6397 0.5538 0.7403 (multiplicity 1)
Br 0.6626 0.1105 0.3148 (multiplicity 1)
Br 0.9714 0.6061 0.1320 (multiplicity 1)
Br 0.9736 0.0940 0.6080 (multiplicity 1)

The calculation returns the following calculated total energy values, one per record and in order: -105.95, -33.56 eV/cell.
The calculation returns the following uncorrected formation energy values, one per record and in order: -80.8, -65.0 kJ per mole of atoms.